# Tb2Sm5DyTm

A geometry-optimized Tb2Sm5DyTm structure (GGA-PBE, Alexandria via LeMat-Bulk).

abc: 10.460 10.460 10.626
angles: 90.00 90.00 148.77
Sites, in units of the cell vectors:
Tb  0.112  0.888  0.500
Tb  0.115  0.885  0.077
Tb  0.885  0.115  0.577
Tb  0.888  0.112  0.000
Sm  0.017  0.983  0.782
Sm  0.280  0.720  0.076
Sm  0.298  0.702  0.470
Sm  0.385  0.615  0.785
Sm  0.482  0.518  0.505
Sm  0.518  0.482  0.005
Sm  0.615  0.385  0.285
Sm  0.702  0.298  0.970
Sm  0.720  0.280  0.576
Sm  0.983  0.017  0.282
Dy  0.410  0.590  0.223
Dy  0.590  0.410  0.723
Tm  0.199  0.801  0.774
Tm  0.801  0.199  0.274


# La4HoZn

A geometry-optimized La4HoZn structure (GGA-PBE, Alexandria via LeMat-Bulk).

Values from the calculation:
Relative energy among the computed polymorphs   0 meV per atom

abc: 3.723 3.723 14.085
angles: 90.00 90.00 90.00
Sites, in units of the cell vectors:
La  0.000  0.000  0.135
La  0.000  0.000  0.865
La  0.500  0.500  0.322
La  0.500  0.500  0.678
Ho  0.000  0.000  0.500
Zn  0.500  0.500  0.000


no.,total magnetic moment (μB/f.u.),energy relative to the elements (eV per atom)
1,0.0,0.1461
2,0.0,-0.0897